## Er2BiO2 (meta-GGA SCAN)

Data for a PBEsol-optimized structure of Er2BiO2.

The structure in CIF format:
```
data_Er2BiO2
_space_group_name_H-M_alt 'I 4/m m m'
_space_group_IT_number 139
_space_group_name_Hall '-I 4 2'
_cell_length_a 3.797
_cell_length_b 3.797
_cell_length_c 13.213
_cell_angle_alpha 90.00
_cell_angle_beta 90.00
_cell_angle_gamma 90.00
loop_
_atom_site_label
_atom_site_fract_x
_atom_site_fract_y
_atom_site_fract_z
Er1 0.000 0.000 0.168
Bi1 0.000 0.000 0.500
O1 0.000 0.500 0.250
```

Calculated values
mass density: 10.03 g cm⁻³
total energy: -413.307 eV/cell

## YOsPtAu2 (meta-GGA SCAN)

Data for a PBEsol-optimized structure of YOsPtAu2.

The structure in CIF format:
```
data_YOsPtAu2
_space_group_name_H-M_alt 'P 4/m m m'
_space_group_IT_number 123
_space_group_name_Hall '-P 4 2'
_cell_length_a 5.023
_cell_length_b 5.023
_cell_length_c 4.908
_cell_angle_alpha 90.00
_cell_angle_beta 90.00
_cell_angle_gamma 90.00
loop_
_atom_site_label
_atom_site_fract_x
_atom_site_fract_y
_atom_site_fract_z
Y1 0.000 0.000 0.000
Os1 0.500 0.500 0.500
Pt1 0.000 0.000 0.500
Au1 0.000 0.500 0.000
```

Calculated values
mass density: 11.64 g cm⁻³
total energy: -299.506 eV/cell
DFT formation energy: 8.72 eV per formula unit

## HfCuReP2 (meta-GGA SCAN)

Data for a PBEsol-optimized structure of HfCuReP2.

The structure in CIF format:
```
data_HfCuReP2
_space_group_name_H-M_alt 'P 4/m m m'
_space_group_IT_number 123
_space_group_name_Hall '-P 4 2'
_cell_length_a 4.463
_cell_length_b 4.463
_cell_length_c 4.649
_cell_angle_alpha 90.00
_cell_angle_beta 90.00
_cell_angle_gamma 90.00
loop_
_atom_site_label
_atom_site_fract_x
_atom_site_fract_y
_atom_site_fract_z
Hf1 0.000 0.000 0.000
Cu1 0.500 0.500 0.000
Re1 0.500 0.500 0.500
P1 0.000 0.500 0.500
```

Calculated values
mass density: 8.79 g cm⁻³
total energy: -166.200 eV/cell
DFT formation energy: 3.57 eV per formula unit

- Which value of total energy does entry 1 give?
  -413.307 eV/cell